No. 1
VASP calculation (PBE) on a relaxed structure of ReAg2PdS6.

Computed properties:
**Theoretical density**: 5.49 Mg/m³

Lattice parameters (Å, degrees): 6.692 6.692 6.692 60.00 60.00 60.00
Fractional positions:
Re  0.000  0.000  0.000
Ag  0.250  0.250  0.250
Ag  0.750  0.750  0.750
Pd  0.500  0.500  0.500
S  0.246  0.246  0.754
S  0.246  0.754  0.246
S  0.246  0.754  0.754
S  0.754  0.246  0.246
S  0.754  0.246  0.754
S  0.754  0.754  0.246

=====

No. 2
VASP calculation (PBE) on a relaxed structure of ZrB4Pd.

Computed properties:
**Theoretical density**: 6.63 Mg/m³
**Offset from the most stable computed form**: 0.011 eV/atom

Lattice parameters (Å, degrees): 3.114 5.291 7.325 90.00 90.00 90.00
Fractional positions:
Zr  0.000  0.000  0.000
Zr  0.500  0.500  0.500
B  0.000  0.319  0.262
B  0.000  0.319  0.738
B  0.000  0.681  0.262
B  0.000  0.681  0.738
B  0.500  0.181  0.238
B  0.500  0.181  0.762
B  0.500  0.819  0.238
B  0.500  0.819  0.762
Pd  0.000  0.000  0.500
Pd  0.500  0.500  0.000

=====

No. 3
VASP calculation (PBE) on a relaxed structure of TmInAg2O4.

Computed properties:
**Theoretical density**: 7.68 Mg/m³

Lattice parameters (Å, degrees): 3.340 3.340 12.621 90.00 90.00 120.00
Fractional positions:
Tm  0.000  0.000  0.000
In  0.000  0.000  0.500
Ag  0.333  0.667  0.250
Ag  0.667  0.333  0.750
O  0.333  0.667  0.085
O  0.333  0.667  0.416
O  0.667  0.333  0.584
O  0.667  0.333  0.915

=====

No. 4
VASP calculation (PBE) on a relaxed structure of Hf4CdInP2.

Computed properties:
**Theoretical density**: 10.07 Mg/m³

Lattice parameters (Å, degrees): 3.549 3.549 15.163 90.00 90.00 120.00
Fractional positions:
Hf  0.000  0.000  0.153
Hf  0.000  0.000  0.847
Hf  0.333  0.667  0.346
Hf  0.333  0.667  0.654
Cd  0.333  0.667  0.000
In  0.000  0.000  0.500
P  0.667  0.333  0.250
P  0.667  0.333  0.750

=====

No. 5
VASP calculation (PBE) on a relaxed structure of ZnGaCoHg.

Computed properties:
**Theoretical density**: 10.53 Mg/m³
**Offset from the most stable computed form**: 0.020 eV/atom

Lattice parameters (Å, degrees): 6.291 6.291 6.291 90.00 90.00 90.00
Fractional positions:
Zn  0.000  0.000  0.000
Zn  0.000  0.500  0.500
Zn  0.500  0.000  0.500
Zn  0.500  0.500  0.000
Ga  0.000  0.000  0.500
Ga  0.000  0.500  0.000
Ga  0.500  0.000  0.000
Ga  0.500  0.500  0.500
Co  0.250  0.250  0.750
Co  0.250  0.750  0.250
Co  0.750  0.250  0.250
Co  0.750  0.750  0.750
Hg  0.250  0.250  0.250
Hg  0.250  0.750  0.750
Hg  0.750  0.250  0.750
Hg  0.750  0.750  0.250

=====

No. 6
VASP calculation (PBE) on a relaxed structure of BaSmSb2.

Computed properties:
**Theoretical density**: 5.90 Mg/m³

Lattice parameters (Å, degrees): 4.837 4.837 7.377 90.00 90.00 120.00
Fractional positions:
Ba  0.000  0.000  0.000
Sm  0.667  0.333  0.500
Sb  0.333  0.667  0.282
Sb  0.333  0.667  0.718

=====

No. 7
VASP calculation (PBE) on a relaxed structure of Y2Mo.

Computed properties:
**Theoretical density**: 2.40 Mg/m³
**ΔH_f (0 K)**: 180 kJ per mole of atoms
**Offset from the most stable computed form**: 0.655 eV/atom

Lattice parameters (Å, degrees): 8.126 8.126 8.126 60.00 60.00 60.00
Fractional positions:
Y  0.000  0.000  0.000
Y  0.000  0.000  0.500
Y  0.000  0.500  0.000
Y  0.500  0.000  0.000
Mo  0.125  0.125  0.125
Mo  0.875  0.875  0.875

=====

No. 8
VASP calculation (PBE) on a relaxed structure of LiPtNO.

Computed properties:
**Theoretical density**: 9.81 Mg/m³
**Offset from the most stable computed form**: 0.767 eV/atom

Lattice parameters (Å, degrees): 3.284 3.284 7.285 90.00 90.00 90.00
Fractional positions:
Li  0.250  0.750  0.000
Li  0.750  0.250  0.000
Pt  0.250  0.250  0.310
Pt  0.750  0.750  0.690
N  0.250  0.250  0.822
N  0.750  0.750  0.178
O  0.250  0.750  0.500
O  0.750  0.250  0.500

=====

No. 9
VASP calculation (PBE) on a relaxed structure of LiPIrO.

Computed properties:
**Theoretical density**: 7.03 Mg/m³
**Offset from the most stable computed form**: 0.169 eV/atom

Lattice parameters (Å, degrees): 3.849 5.466 5.527 90.00 90.00 90.00
Fractional positions:
Li  0.000  0.119  0.000
Li  0.000  0.881  0.500
P  0.500  0.340  0.785
P  0.500  0.660  0.285
Ir  0.500  0.266  0.390
Ir  0.500  0.734  0.890
O  0.000  0.185  0.332
O  0.000  0.815  0.832

=====

No. 10
VASP calculation (PBE) on a relaxed structure of Pm2YF6.

Computed properties:
**Theoretical density**: 5.71 Mg/m³

Lattice parameters (Å, degrees): 3.760 3.760 10.145 90.00 90.00 90.00
Fractional positions:
Pm  0.000  0.000  0.209
Pm  0.000  0.000  0.791
Y  0.500  0.500  0.500
F  0.000  0.000  0.000
F  0.000  0.000  0.500
F  0.000  0.500  0.355
F  0.000  0.500  0.645
F  0.500  0.000  0.355
F  0.500  0.000  0.645

=====

No. 11
VASP calculation (PBE) on a relaxed structure of LaTmNi.

Computed properties:
**Theoretical density**: 8.68 Mg/m³
**ΔH_f (0 K)**: 8 kJ per mole of atoms
**Offset from the most stable computed form**: 0.214 eV/atom

Lattice parameters (Å, degrees): 7.374 7.374 4.467 90.00 90.00 120.00
Fractional positions:
La  0.000  0.592  0.000
La  0.408  0.408  0.000
La  0.592  0.000  0.000
Tm  0.000  0.000  0.000
Tm  0.333  0.667  0.500
Tm  0.667  0.333  0.500
Ni  0.000  0.255  0.500
Ni  0.255  0.000  0.500
Ni  0.745  0.745  0.500

=====

No. 12
VASP calculation (PBE) on a relaxed structure of Sm4Hf3As4.

Computed properties:
**Theoretical density**: 8.91 Mg/m³

Lattice parameters (Å, degrees): 7.345 3.795 9.693 90.00 97.74 90.00
Fractional positions:
Sm  0.000  0.000  0.000
Sm  0.050  0.500  0.415
Sm  0.419  0.000  0.590
Sm  0.667  0.500  0.120
Hf  0.295  0.500  0.840
Hf  0.431  0.000  0.292
Hf  0.783  0.500  0.729
As  0.054  0.000  0.690
As  0.258  0.500  0.128
As  0.598  0.000  0.877
As  0.652  0.500  0.450

=====

No. 13
VASP calculation (PBE) on a relaxed structure of GdDyCu2As4.

Computed properties:
**Theoretical density**: 8.17 Mg/m³

Lattice parameters (Å, degrees): 3.919 3.919 9.878 90.00 90.00 90.00
Fractional positions:
Gd  0.000  0.000  0.000
Dy  0.500  0.500  0.526
Cu  0.000  0.500  0.264
Cu  0.500  0.000  0.264
As  0.000  0.000  0.423
As  0.000  0.500  0.762
As  0.500  0.000  0.762
As  0.500  0.500  0.105

=====

No. 14
VASP calculation (PBE) on a relaxed structure of GdZnPO.

Computed properties:
**Theoretical density**: 6.94 Mg/m³

Lattice parameters (Å, degrees): 4.710 4.124 6.645 90.00 90.00 90.00
Fractional positions:
Gd  0.000  0.222  0.000
Gd  0.000  0.778  0.500
Zn  0.500  0.289  0.359
Zn  0.500  0.711  0.859
P  0.500  0.212  0.703
P  0.500  0.788  0.203
O  0.000  0.282  0.343
O  0.000  0.718  0.843

=====

No. 15
VASP calculation (PBE) on a relaxed structure of PrNdInCo2.

Computed properties:
**Theoretical density**: 7.64 Mg/m³

Lattice parameters (Å, degrees): 3.998 3.932 14.327 90.00 90.00 90.00
Fractional positions:
Pr  0.000  0.000  0.000
Pr  0.000  0.500  0.500
Nd  0.000  0.000  0.272
Nd  0.000  0.500  0.772
In  0.500  0.000  0.637
In  0.500  0.500  0.137
Co  0.500  0.000  0.426
Co  0.500  0.000  0.844
Co  0.500  0.500  0.344
Co  0.500  0.500  0.926

=====

No. 16
VASP calculation (PBE) on a relaxed structure of ScNb2Ga.

Computed properties:
**Theoretical density**: 6.83 Mg/m³

Lattice parameters (Å, degrees): 6.636 6.636 6.636 90.00 90.00 90.00
Fractional positions:
Sc  0.000  0.000  0.000
Sc  0.000  0.500  0.500
Sc  0.500  0.000  0.500
Sc  0.500  0.500  0.000
Nb  0.000  0.000  0.500
Nb  0.000  0.500  0.000
Nb  0.250  0.250  0.250
Nb  0.250  0.750  0.750
Nb  0.500  0.000  0.000
Nb  0.500  0.500  0.500
Nb  0.750  0.250  0.750
Nb  0.750  0.750  0.250
Ga  0.250  0.250  0.750
Ga  0.250  0.750  0.250
Ga  0.750  0.250  0.250
Ga  0.750  0.750  0.750

=====

No. 17
VASP calculation (PBE) on a relaxed structure of UCoAu.

Computed properties:
**Theoretical density**: 12.12 Mg/m³
**ΔH_f (0 K)**: 55 kJ per mole of atoms

Lattice parameters (Å, degrees): 6.468 6.468 6.468 90.00 90.00 90.00
Fractional positions:
U  0.000  0.000  0.000
U  0.000  0.500  0.500
U  0.500  0.000  0.500
U  0.500  0.500  0.000
Co  0.250  0.250  0.250
Co  0.250  0.750  0.750
Co  0.750  0.250  0.750
Co  0.750  0.750  0.250
Au  0.250  0.250  0.750
Au  0.250  0.750  0.250
Au  0.750  0.250  0.250
Au  0.750  0.750  0.750

=====

No. 18
VASP calculation (PBE) on a relaxed structure of ZnBr.

Computed properties:
**Theoretical density**: 5.06 Mg/m³

Lattice parameters (Å, degrees): 3.797 3.797 3.818 90.00 90.00 120.00
Fractional positions:
Zn  0.000  0.000  0.000
Br  0.333  0.667  0.500

=====

No. 19
VASP calculation (PBE) on a relaxed structure of MgFeBW.

Computed properties:
**Theoretical density**: 9.52 Mg/m³
**Offset from the most stable computed form**: 0.000 eV/atom

Lattice parameters (Å, degrees): 5.767 5.767 5.767 90.00 90.00 90.00
Fractional positions:
Mg  0.000  0.000  0.000
Mg  0.000  0.500  0.500
Mg  0.500  0.000  0.500
Mg  0.500  0.500  0.000
Fe  0.000  0.000  0.500
Fe  0.000  0.500  0.000
Fe  0.500  0.000  0.000
Fe  0.500  0.500  0.500
B  0.250  0.250  0.250
B  0.250  0.750  0.750
B  0.750  0.250  0.750
B  0.750  0.750  0.250
W  0.250  0.250  0.750
W  0.250  0.750  0.250
W  0.750  0.250  0.250
W  0.750  0.750  0.750

=====

No. 20
VASP calculation (PBE) on a relaxed structure of ZnFeMo4C2.

Computed properties:
**Theoretical density**: 8.37 Mg/m³

Lattice parameters (Å, degrees): 3.027 3.027 13.233 90.00 90.00 120.00
Fractional positions:
Zn  0.000  0.000  0.000
Fe  0.333  0.667  0.500
Mo  0.000  0.000  0.346
Mo  0.000  0.000  0.654
Mo  0.333  0.667  0.168
Mo  0.333  0.667  0.832
C  0.667  0.333  0.256
C  0.667  0.333  0.744

=====

No. 21
VASP calculation (PBE) on a relaxed structure of RbReMo.

Computed properties:
**Theoretical density**: 9.53 Mg/m³
**Offset from the most stable computed form**: 1.533 eV/atom

Lattice parameters (Å, degrees): 6.351 6.351 6.351 90.00 90.00 90.00
Fractional positions:
Rb  0.000  0.000  0.000
Rb  0.000  0.500  0.500
Rb  0.500  0.000  0.500
Rb  0.500  0.500  0.000
Re  0.250  0.250  0.250
Re  0.250  0.750  0.750
Re  0.750  0.250  0.750
Re  0.750  0.750  0.250
Mo  0.250  0.250  0.750
Mo  0.250  0.750  0.250
Mo  0.750  0.250  0.250
Mo  0.750  0.750  0.750

=====

No. 22
VASP calculation (PBE) on a relaxed structure of LuNbMo.

Computed properties:
**Theoretical density**: 8.86 Mg/m³
**ΔH_f (0 K)**: 149 kJ per mole of atoms
**Offset from the most stable computed form**: 0.948 eV/atom

Lattice parameters (Å, degrees): 6.486 6.486 6.486 90.00 90.00 90.00
Fractional positions:
Lu  0.000  0.000  0.000
Lu  0.000  0.500  0.500
Lu  0.500  0.000  0.500
Lu  0.500  0.500  0.000
Nb  0.250  0.250  0.250
Nb  0.250  0.750  0.750
Nb  0.750  0.250  0.750
Nb  0.750  0.750  0.250
Mo  0.250  0.250  0.750
Mo  0.250  0.750  0.250
Mo  0.750  0.250  0.250
Mo  0.750  0.750  0.750

=====

No. 23
VASP calculation (PBE) on a relaxed structure of AcZnSn.

Computed properties:
**Theoretical density**: 7.92 Mg/m³
**Offset from the most stable computed form**: 0.000 eV/atom

Lattice parameters (Å, degrees): 4.614 4.614 4.677 90.00 90.00 120.00
Fractional positions:
Ac  0.000  0.000  0.000
Zn  0.333  0.667  0.506
Sn  0.667  0.333  0.499

=====

No. 24
VASP calculation (PBE) on a relaxed structure of CuAg4.

Computed properties:
**Theoretical density**: 9.84 Mg/m³
**ΔH_f (0 K)**: 6 kJ per mole of atoms
**Offset from the most stable computed form**: 0.036 eV/atom

Lattice parameters (Å, degrees): 4.965 2.888 11.753 90.00 97.41 90.00
Fractional positions:
Cu  0.149  0.250  0.199
Cu  0.851  0.750  0.801
Ag  0.051  0.750  0.393
Ag  0.245  0.750  0.006
Ag  0.349  0.250  0.803
Ag  0.453  0.750  0.603
Ag  0.547  0.250  0.397
Ag  0.651  0.750  0.197
Ag  0.755  0.250  0.994
Ag  0.949  0.250  0.607

=====

No. 25
VASP calculation (PBE) on a relaxed structure of Cu9Ag.

Computed properties:
**Theoretical density**: 9.13 Mg/m³
**ΔH_f (0 K)**: 4 kJ per mole of atoms
**Offset from the most stable computed form**: 0.004 eV/atom

Lattice parameters (Å, degrees): 4.468 6.866 8.272 97.14 100.56 90.52
Fractional positions:
Cu  0.000  0.000  0.000
Cu  0.034  0.456  0.654
Cu  0.103  0.896  0.285
Cu  0.150  0.352  0.949
Cu  0.207  0.790  0.613
Cu  0.251  0.250  0.240
Cu  0.297  0.700  0.905
Cu  0.403  0.593  0.194
Cu  0.448  0.049  0.857
Cu  0.500  0.500  0.500
Cu  0.552  0.951  0.143
Cu  0.597  0.407  0.806
Cu  0.703  0.300  0.095
Cu  0.749  0.750  0.760
Cu  0.793  0.210  0.387
Cu  0.850  0.648  0.051
Cu  0.897  0.104  0.715
Cu  0.966  0.544  0.346
Ag  0.334  0.153  0.551
Ag  0.666  0.847  0.449

=====

Number 1: DFT total energy -0.158 hartree per atom. Number 2: DFT total energy -0.261 hartree per atom. Number 3: DFT total energy -0.212 hartree per atom. Number 4: DFT total energy -0.275 hartree per atom. Number 5: DFT total energy -0.097 hartree per atom. Number 6: DFT total energy -0.174 hartree per atom. Number 7: DFT total energy -0.223 hartree per atom. Number 8: DFT total energy -0.170 hartree per atom. Number 9: DFT total energy -0.216 hartree per atom. Number 10: DFT total energy -0.230 hartree per atom. Number 11: DFT total energy -0.180 hartree per atom. Number 12: DFT total energy -0.250 hartree per atom. Number 13: DFT total energy -0.193 hartree per atom. Number 14: DFT total energy -0.210 hartree per atom. Number 15: DFT total energy -0.204 hartree per atom. Number 16: DFT total energy -0.276 hartree per atom. Number 17: DFT total energy -0.245 hartree per atom. Number 18: DFT total energy -0.057 hartree per atom. Number 19: DFT total energy -0.242 hartree per atom. Number 20: DFT total energy -0.326 hartree per atom. Number 21: DFT total energy -0.158 hartree per atom. Number 22: DFT total energy -0.255 hartree per atom. Number 23: DFT total energy -0.137 hartree per atom. Number 24: DFT total energy -0.108 hartree per atom. Number 25: DFT total energy -0.132 hartree per atom.